This record from Alexandria describes V2NiF after structural relaxation. The functional is PBE with a Hubbard U.

abc: 6.1224 6.1224 6.5035
angles: 90.00 90.00 90.00
With the nearest neighbours (Å) after each atom.
Sites, in units of the cell vectors:
V (0.2074, 0.2500, 0.1250)  2 F 2.15
V (0.2500, 0.7074, 0.3750)  2 F 2.15
V (0.2500, 0.7926, 0.8750)  2 F 2.15
V (0.2926, 0.2500, 0.6250)  2 F 2.15
V (0.7074, 0.7500, 0.6250)  2 F 2.15
V (0.7500, 0.2074, 0.8750)  2 F 2.15
V (0.7500, 0.2926, 0.3750)  2 F 2.15
V (0.7926, 0.7500, 0.1250)  2 F 2.15
Ni (0.0000, 0.0000, 0.5000)  4 V 2.49
Ni (0.0000, 0.5000, 0.7500)  4 V 2.49
Ni (0.5000, 0.0000, 0.2500)  4 V 2.49
Ni (0.5000, 0.5000, 0.0000)  4 V 2.49
F (0.0000, 0.0000, 0.0000)  4 V 2.15
F (0.0000, 0.5000, 0.2500)  4 V 2.15
F (0.5000, 0.0000, 0.7500)  4 V 2.15
F (0.5000, 0.5000, 0.5000)  4 V 2.15

Computed properties:
Space-group type = No. 122
Energy above the most stable polymorph in this dataset = 0.0 meV per atom
V = 15.2 Å³/atom